Computed, not measured: a relaxed TbThCu2Ge2 crystal at the PBE-GGA level of DFT.

ΔH_f (0 K): -0.660 eV per atom

Cell lengths 4.2299, 4.2299, 7.8361 Å; angles 90.00, 90.00, 120.00 degrees
Space group P-3m1 (No. 164)
Symmetry-distinct sites (fractional):
Tb: 0.0000 0.0000 0.0000 (multiplicity 1)
Th: 0.0000 0.0000 0.5000 (multiplicity 1)
Cu: 0.3333 0.6667 0.7520 (multiplicity 2)
Ge: 0.3333 0.6667 0.2414 (multiplicity 2)

=====

Computed, not measured: a relaxed TbTm2Cu2Ge2 crystal at the PBE-GGA level of DFT.

ΔH_f (0 K): -0.484 eV per atom

Cell lengths 4.1805, 4.1805, 29.9681 Å; angles 90.00, 90.00, 120.00 degrees
Space group R-3m (No. 166, hexagonal axes)
Symmetry-distinct sites (fractional):
Tb: 0.0000 0.0000 0.0000 (multiplicity 3)
Tm: 0.0000 0.0000 0.1228 (multiplicity 6)
Cu: 0.0000 0.0000 0.3957 (multiplicity 6)
Ge: 0.0000 0.0000 0.2682 (multiplicity 6)

=====

Q: The highest ΔH_f (0 K) belongs to which entry?
A: TbTm2Cu2Ge2

=====

Q: ΔH_f (0 K) of number 2 (TbTm2Cu2Ge2)?
A: -0.484 eV per atom

=====

Q: Which of these has the lowest ΔH_f (0 K)?
A: TbThCu2Ge2